(1)
Crystalline Pu2InMo at its relaxed geometry. Source: the Alexandria database, functional PBE-GGA.

Values from the calculation:
Mass density in g/cm3: 12.8
ΔE_f in eV/atom: 0.24
N(E_F) in states/eV per atom: 3.425
Distance to the lowest polymorph of the same formula in meV/atom: 0.0

abc: 3.8461 3.8461 6.1331
angles: 90.00 90.00 90.00
Positions (direct):
Pu1 0.0000 0.0000 0.2344
Pu2 0.0000 0.0000 0.7656
In1 0.5000 0.5000 0.5000
Mo1 0.5000 0.5000 0.0000


(2)
Crystalline BaSiSn2Os at its relaxed geometry. Source: the Alexandria database, functional PBE-GGA.

Values from the calculation:
E_form (uncorrected) in meV/atom: 100
Mass density in g/cm3: 7.3
N(E_F) in states/eV per atom: 1.498

abc: 5.3675 5.3675 4.6917
angles: 90.00 90.00 90.00
Positions (direct):
Ba1 0.0000 0.0000 0.0000
Si1 0.5000 0.5000 0.0000
Sn1 0.0000 0.5000 0.5000
Sn2 0.5000 0.0000 0.5000
Os1 0.5000 0.5000 0.5000


(3)
Crystalline LaDy3Tc at its relaxed geometry. Source: the Alexandria database, functional PBE-GGA.

Values from the calculation:
Mass density in g/cm3: 7.5
ΔE_f in eV/atom: 0.10
N(E_F) in states/eV per atom: 1.696
Distance to the lowest polymorph of the same formula in meV/atom: 156.9

abc: 5.4238 5.4238 5.4238
angles: 90.00 90.00 90.00
Positions (direct):
La1 0.0000 0.0000 0.0000
Dy1 0.0000 0.5000 0.5000
Dy2 0.5000 0.0000 0.5000
Dy3 0.5000 0.5000 0.0000
Tc1 0.5000 0.5000 0.5000


(4)
Crystalline LiSmZrFe at its relaxed geometry. Source: the Alexandria database, functional PBE-GGA.

Values from the calculation:
Mass density in g/cm3: 6.7
ΔE_f in eV/atom: 0.13
N(E_F) in states/eV per atom: 1.128

abc: 6.7134 6.7134 6.7134
angles: 90.00 90.00 90.00
Positions (direct):
Li1 0.0000 0.0000 0.0000
Li2 0.0000 0.5000 0.5000
Li3 0.5000 0.0000 0.5000
Li4 0.5000 0.5000 0.0000
Sm1 0.2500 0.2500 0.2500
Sm2 0.2500 0.7500 0.7500
Sm3 0.7500 0.2500 0.7500
Sm4 0.7500 0.7500 0.2500
Zr1 0.2500 0.2500 0.7500
Zr2 0.2500 0.7500 0.2500
Zr3 0.7500 0.2500 0.2500
Zr4 0.7500 0.7500 0.7500
Fe1 0.0000 0.0000 0.5000
Fe2 0.0000 0.5000 0.0000
Fe3 0.5000 0.0000 0.0000
Fe4 0.5000 0.5000 0.5000


Q: Which of these has the lowest mass density?
A: LiSmZrFe